HoMgAuSeS2 | the Open Quantum Materials Database | GGA-PBE | optimized geometry; crystal system = orthorhombic; space-group type = Cmcm, No. 63; energy = -56.0 eV per cell; size of the total moment = 0.02 μB/cell
1.0
-6.239 -1.140 -3.020
4.793 -2.196 4.643
-4.728 5.748 7.600
Au Ho Mg S Se
2 2 2 4 2
Direct
0.858 0.142 0.250
0.142 0.858 0.750
0.500 0.500 0.000
0.500 0.500 0.500
0.203 0.797 0.250
0.797 0.203 0.750
0.863 0.137 0.031
0.863 0.137 0.469
0.137 0.863 0.531
0.137 0.863 0.969
0.581 0.419 0.250
0.419 0.581 0.750